(w)
Compound: Ce6Rh2Au
Source: the Alexandria database
Functional: GGA-PBE
Structure: relaxed

Structure (POSCAR):
```
Ce6Rh2Au
1.0
4.781 0.000 0.000
-2.391 5.268 -0.881
0.000 -2.723 8.604
Ce Au Rh
6 1 2
Direct
0.696 0.392 0.131 Ce
0.970 0.939 0.835 Ce
0.304 0.608 0.869 Ce
0.327 0.654 0.500 Ce
0.673 0.346 0.500 Ce
0.030 0.061 0.165 Ce
0.000 0.000 0.500 Au
0.614 0.228 0.787 Rh
0.386 0.772 0.213 Rh
```

Computed properties:
* space-group type: C2/m
* total magnetization: 0.18 μB/atom

***

(x)
Compound: Ce6Rh2Au
Source: the Alexandria database
Functional: GGA-PBE
Structure: relaxed

Structure (POSCAR):
```
Ce6Rh2Au
1.0
4.804 0.000 0.000
-2.402 5.114 -0.376
0.000 -0.421 8.671
Ce Au Rh
6 1 2
Direct
0.306 0.611 0.419 Ce
0.946 0.891 0.142 Ce
0.694 0.389 0.581 Ce
0.394 0.787 0.819 Ce
0.606 0.213 0.181 Ce
0.054 0.109 0.858 Ce
0.000 0.000 0.500 Au
0.731 0.461 0.880 Rh
0.269 0.539 0.120 Rh
```

Computed properties:
* space-group type: C2/m
* total magnetization: 0.18 μB/atom

***

Of them, (w) has the lowest stability.

***

(w)
Compound: Ce4Rh2Au
Source: the Alexandria database
Functional: GGA-PBE
Structure: relaxed

Structure (POSCAR):
```
Ce4Rh2Au
1.0
-3.449 1.951 6.536
-5.051 -1.075 -5.636
3.787 -6.548 1.130
Rh Ce Au
4 8 2
Direct
0.489 0.375 0.614 Rh
0.125 0.511 0.886 Rh
0.761 0.875 0.386 Rh
0.625 0.239 0.114 Rh
0.861 0.605 0.618 Ce
0.856 0.611 0.118 Ce
0.263 0.145 0.756 Ce
0.389 0.507 0.244 Ce
0.757 0.139 0.744 Ce
0.493 0.737 0.882 Ce
0.987 0.243 0.381 Ce
0.395 0.013 0.256 Ce
0.000 0.000 0.000 Au
0.250 0.750 0.500 Au
```

Computed properties:
* space-group type: I-42d
* total magnetization: 0.41 μB/atom

***

(x)
Compound: Ce4Rh2Au
Source: the Alexandria database
Functional: GGA-PBE
Structure: relaxed

Structure (POSCAR):
```
Ce4Rh2Au
1.0
4.455 0.000 0.000
0.000 5.721 -2.452
0.000 0.094 6.385
Rh Ce Au
2 4 1
Direct
0.500 0.868 0.382 Rh
0.500 0.406 0.958 Rh
0.500 0.384 0.450 Ce
0.000 0.662 0.176 Ce
0.000 0.217 0.630 Ce
0.500 0.825 0.812 Ce
0.000 0.138 0.092 Au
```

Computed properties:
* space-group type: Pm
* total magnetization: 0.11 μB/atom

***

Of them, (x) has the lowest stability.

***

(w)
Compound: CeRhAu4
Source: the Alexandria database
Functional: GGA-PBE
Structure: relaxed

Structure (POSCAR):
```
CeRhAu4
1.0
-4.514 2.618 1.779
-4.881 -1.007 -2.358
-3.881 -2.768 2.770
Au Ce Rh
4 1 1
Direct
0.624 0.624 0.127 Au
0.127 0.624 0.624 Au
0.624 0.624 0.624 Au
0.624 0.127 0.624 Au
0.000 0.000 0.000 Ce
0.250 0.250 0.250 Rh
```

Computed properties:
* space-group type: F-43m
* total magnetization: 0.11 μB/atom

***

(x)
Compound: CeRhAu4
Source: the Alexandria database
Functional: GGA-PBE
Structure: relaxed

Structure (POSCAR):
```
CeRhAu4
1.0
5.191 -0.224 1.849
-2.706 4.759 0.653
0.896 0.190 5.334
Rh Au Ce
1 4 1
Direct
0.292 0.721 0.407 Rh
0.789 0.641 0.988 Au
0.992 0.282 0.145 Au
0.711 0.670 0.526 Au
0.222 0.182 0.527 Au
0.483 0.020 0.916 Ce
```

Computed properties:
* space-group type: P1
* total magnetization: 0.08 μB/atom

***

Of them, (w) has the lowest stability.

***

(w)
Compound: Ce6Ru2Au
Source: the Alexandria database
Functional: GGA-PBE
Structure: relaxed

Structure (POSCAR):
```
Ce6Ru2Au
1.0
4.893 0.000 0.000
-2.446 5.076 -0.403
0.000 -0.513 8.623
Ce Au Ru
6 1 2
Direct
0.308 0.616 0.404 Ce
0.611 0.221 0.176 Ce
0.692 0.384 0.596 Ce
0.050 0.099 0.858 Ce
0.950 0.901 0.142 Ce
0.389 0.779 0.824 Ce
0.000 0.000 0.500 Au
0.273 0.546 0.123 Ru
0.727 0.454 0.877 Ru
```

Computed properties:
* space-group type: C2/m
* total magnetization: 0.07 μB/atom

***

(x)
Compound: Ce6Ru2Au
Source: the Alexandria database
Functional: GGA-PBE
Structure: relaxed

Structure (POSCAR):
```
Ce6Ru2Au
1.0
5.358 0.000 0.000
-2.679 4.987 -1.141
0.000 -3.260 8.304
Ce Ru Au
6 2 1
Direct
0.651 0.302 0.505 Ce
0.661 0.322 0.151 Ce
0.349 0.698 0.495 Ce
0.992 0.984 0.152 Ce
0.339 0.678 0.849 Ce
0.008 0.016 0.848 Ce
0.677 0.354 0.851 Ru
0.323 0.646 0.149 Ru
0.000 0.000 0.500 Au
```

Computed properties:
* space-group type: C2/m
* total magnetization: 0.08 μB/atom

***

Of them, (x) has the lowest stability.